# K2Ni3O6 | the Alexandria database | PBE with a Hubbard U | relaxed
data_K2Ni3O6
_space_group_name_H-M_alt 'C 1 2/m 1'
_space_group_IT_number 12
_space_group_name_Hall '-C 2y'
_cell_length_a 5.008
_cell_length_b 8.995
_cell_length_c 6.316
_cell_angle_alpha 90.00
_cell_angle_beta 104.26
_cell_angle_gamma 90.00
loop_
_atom_site_label
_atom_site_type_symbol
_atom_site_fract_x
_atom_site_fract_y
_atom_site_fract_z
K1 K 0.000 0.163 0.000
Ni1 Ni 0.000 0.000 0.500
Ni2 Ni 0.000 0.333 0.500
O1 O 0.225 0.500 0.660
O2 O 0.230 0.170 0.664
# - size of the total moment (μB/f.u.) = 2.000
# - N(E_F) (states/eV per cell) = 6.2
# - E (eV per atom) = -4.514